A plane-wave DFT calculation with PBE was carried out for an optimized crystal structure of Sr2YPt. Values from VASP.

Properties
Calculated total energy = -4.0422 eV/atom
DFT formation energy = -0.30 eV per formula unit
Total magnetization = 0.0 μB per formula unit

The structure in Quantum ESPRESSO input format:
```
&SYSTEM
  ibrav = 0, nat = 4, ntyp = 3
/
ATOMIC_SPECIES
Sr 87.62 Sr.upf
Y 88.91 Y.upf
Pt 195.08 Pt.upf
ATOMIC_POSITIONS crystal
Sr 0.250 0.750 0.500
Sr 0.750 0.250 0.500
Y 0.000 0.000 0.000
Pt 0.500 0.500 0.000
CELL_PARAMETERS angstrom
-2.284 2.284 5.606
2.284 -2.284 5.606
2.284 2.284 -5.606
```

***

A plane-wave DFT calculation with PBE was carried out for an optimized crystal structure of Sr2YPt. Values from VASP.

Properties
Calculated total energy = -4.4676 eV/atom
DFT formation energy = -2.00 eV per formula unit
Total magnetization = 0.0 μB per formula unit

The structure in Quantum ESPRESSO input format:
```
&SYSTEM
  ibrav = 0, nat = 4, ntyp = 3
/
ATOMIC_SPECIES
Sr 87.62 Sr.upf
Y 88.91 Y.upf
Pt 195.08 Pt.upf
ATOMIC_POSITIONS crystal
Sr 0.000 0.000 0.000
Sr 0.500 0.500 0.357
Y 0.000 0.000 0.664
Pt 0.500 0.500 0.796
CELL_PARAMETERS angstrom
3.710 0.000 0.000
0.000 3.710 0.000
0.000 0.000 10.048
```